Na2FeNiHg (meta-GGA SCAN, PBEsol geometry); space-group type = P4/mmm, No. 123; E = -21.23 eV/atom; DOS at the Fermi energy = 3.51 states/eV/cell
1.0
5.314 0.000 0.000
0.000 5.314 0.000
0.000 0.000 4.781
Na Fe Ni Hg
2 1 1 1
Cartesian
0.000 2.657 0.000
2.657 0.000 0.000
0.000 0.000 2.390
2.657 2.657 2.390
2.657 2.657 0.000